[1]
Below is a relaxed NbCrBr crystal, with properties calculated at the PBE level.

The volume comes out at 23.03 A^3/atom. As for the mass density: 5.4 g/cm³. The total moment is 0.057 μB per atom. The formation energy from raw total energies is -7 meV/atom. Its energy relative to the lowest polymorph listed for this composition is 11 meV/atom.

The space group is P1 (No. 1) and the conventional cell measures 3.372, 4.282 and 9.765 Å, with angles of 78.56, 89.91 and 90.00 degrees. The asymmetric unit holds Nb at (0.000, 0.000, 0.000), Nb at (0.500, 0.491, 0.006), Cr at (0.001, 0.588, 0.772), Cr at (0.501, 0.129, 0.774), Br at (0.502, 0.831, 0.575) and Br at (0.999, 0.487, 0.226).

[2]
Below is a relaxed Nb2CrBr crystal, with properties calculated at the PBE level.

The volume comes out at 23.00 A^3/atom. As for the mass density: 5.7 g/cm³. The total moment is 0.000 μB per atom. The formation energy from raw total energies is 1135 meV/atom. Its energy relative to the lowest polymorph listed for this composition is 369 meV/atom.

The space group is I-42d (No. 122) and the conventional cell measures 5.226, 5.226 and 13.475 Å, with angles of 90.00, 90.00 and 90.00 degrees. The asymmetric unit holds Nb at (0.184, 0.250, 0.125), Cr at (0.000, 0.000, 0.000) and Br at (0.000, 0.000, 0.500).

[3]
Below is a relaxed NbCrBr crystal, with properties calculated at the PBE level.

The volume comes out at 22.76 A^3/atom. As for the mass density: 5.5 g/cm³. The total moment is 0.027 μB per atom. The formation energy from raw total energies is -18 meV/atom. Its energy relative to the lowest polymorph listed for this composition is 0 meV/atom.

The space group is P1 (No. 1) and the conventional cell measures 3.461, 4.168 and 9.607 Å, with angles of 89.91, 80.08 and 90.00 degrees. The asymmetric unit holds Nb at (0.000, 0.000, 0.000), Nb at (0.495, 0.500, 0.010), Cr at (0.104, 0.502, 0.782), Cr at (0.613, 0.000, 0.763), Br at (0.393, 0.000, 0.225) and Br at (0.702, 0.499, 0.578).

- The lowest formation energy from raw total energies belongs to which entry?
  number 3

Repeat the second record exactly.
Below is a relaxed Nb2CrBr crystal, with properties calculated at the PBE level.

The volume comes out at 23.00 A^3/atom. As for the mass density: 5.7 g/cm³. The total moment is 0.000 μB per atom. The formation energy from raw total energies is 1135 meV/atom. Its energy relative to the lowest polymorph listed for this composition is 369 meV/atom.

The space group is I-42d (No. 122) and the conventional cell measures 5.226, 5.226 and 13.475 Å, with angles of 90.00, 90.00 and 90.00 degrees. The asymmetric unit holds Nb at (0.184, 0.250, 0.125), Cr at (0.000, 0.000, 0.000) and Br at (0.000, 0.000, 0.500).

- Look up the mass density of the second one.
  5.7 g/cm³